VASP calculation (PBE) on YErCo2C2N2 after structural relaxation.

Calculated values
total energy = -8.26 eV/atom
calculated density = 8.29 g cm⁻³
crystal system = tetragonal

abc: 3.4304 3.4304 7.2513
angles: 90.00 90.00 90.00
Space group P4mm (No. 99)
Unique sites:
Y1 0.0000 0.0000 0.0000 (multiplicity 1)
Er1 0.5000 0.5000 0.3500 (multiplicity 1)
Co1 0.0000 0.5000 0.6743 (multiplicity 2)
C1 0.0000 0.0000 0.5242 (multiplicity 1)
C2 0.5000 0.5000 0.8269 (multiplicity 1)
N1 0.0000 0.0000 0.3261 (multiplicity 1)
N2 0.5000 0.5000 0.0256 (multiplicity 1)